w | Below is crystalline BaCaH3 at its relaxed geometry, with properties calculated at the GGA-PBE level.

Cell and atoms, written as POSCAR:
```
BaCaH3
1.0
4.8922 0.0000 0.0000
0.0000 4.8922 0.0000
0.0000 0.0000 4.8922
Ba Ca H
1 1 3
direct
0.0000 0.0000 0.0000 Ba
0.5000 0.5000 0.5000 Ca
0.0000 0.0000 0.5000 H
0.0000 0.5000 0.0000 H
0.5000 0.0000 0.0000 H
```

## Properties
* magnetization: 0.00 μB per formula unit



x | Below is crystalline BaCaH3 at its relaxed geometry, with properties calculated at the GGA-PBE level.

Cell and atoms, written as POSCAR:
```
BaCaH3
1.0
4.4481 0.0000 0.0000
0.0000 4.4481 0.0000
0.0000 0.0000 4.4481
Ba Ca H
1 1 3
direct
0.0000 0.0000 0.0000 Ba
0.5000 0.5000 0.5000 Ca
0.0000 0.5000 0.5000 H
0.5000 0.0000 0.5000 H
0.5000 0.5000 0.0000 H
```

## Properties
* magnetization: 0.00 μB per formula unit



y | Below is crystalline BaCaH3 at its relaxed geometry, with properties calculated at the GGA-PBE level.

Cell and atoms, written as POSCAR:
```
BaCaH3
1.0
3.0510 -6.7174 0.0000
3.0510 6.7174 0.0000
0.0000 0.0000 4.2198
Ba Ca H
2 2 6
direct
0.1392 0.8608 0.0000 Ba
0.8608 0.1392 0.0000 Ba
0.3783 0.6217 0.5000 Ca
0.6217 0.3783 0.5000 Ca
0.0000 0.5000 0.5000 H
0.2231 0.2231 0.5000 H
0.3308 0.6692 0.0000 H
0.5000 0.0000 0.5000 H
0.6692 0.3308 0.0000 H
0.7769 0.7769 0.5000 H
```

## Properties
* magnetization: 0.00 μB per formula unit



The structure with the least stability is w.



w | Below is crystalline BaCaH2 at its relaxed geometry, with properties calculated at the GGA-PBE level.

Cell and atoms, written as POSCAR:
```
BaCaH2
1.0
4.5256 0.0000 0.0000
0.0000 4.5256 0.0000
0.0000 0.0000 4.3364
Ba Ca H
1 1 2
direct
0.0000 0.0000 0.0000 Ba
0.5000 0.5000 0.5000 Ca
0.0000 0.5000 0.5000 H
0.5000 0.0000 0.5000 H
```

## Properties
* magnetization: 0.00 μB per formula unit



x | Below is crystalline BaCaH2 at its relaxed geometry, with properties calculated at the GGA-PBE level.

Cell and atoms, written as POSCAR:
```
BaCaH2
1.0
4.0995 0.0000 0.0000
0.0000 4.0995 0.0000
0.0000 0.0000 6.2904
Ba Ca H
1 1 2
direct
0.0000 0.0000 0.0000 Ba
0.5000 0.5000 0.4348 Ca
0.0000 0.5000 0.2600 H
0.5000 0.0000 0.2600 H
```

## Properties
* magnetization: 0.03 μB per formula unit



y | Below is crystalline BaCaH2 at its relaxed geometry, with properties calculated at the GGA-PBE level.

Cell and atoms, written as POSCAR:
```
BaCaH2
1.0
1.9255 1.1117 7.1258
-1.9255 1.1117 7.1258
0.0000 -2.2234 7.1258
Ba Ca H
1 1 2
direct
0.0000 0.0000 0.0000 Ba
0.5000 0.5000 0.5000 Ca
0.1254 0.1254 0.1254 H
0.8746 0.8746 0.8746 H
```

## Properties
* magnetization: 0.98 μB per formula unit



z | Below is crystalline BaCaH2 at its relaxed geometry, with properties calculated at the GGA-PBE level.

Cell and atoms, written as POSCAR:
```
BaCaH2
1.0
0.0000 3.4556 3.4556
3.4556 0.0000 3.4556
3.4556 3.4556 0.0000
Ba Ca H
1 1 2
direct
0.0000 0.0000 0.0000 Ba
0.5000 0.5000 0.5000 Ca
0.2500 0.2500 0.2500 H
0.7500 0.7500 0.7500 H
```

## Properties
* magnetization: 0.00 μB per formula unit



The structure with the least stability is z.



w | Below is crystalline BaCaH2 at its relaxed geometry, with properties calculated at the GGA-PBE level.

Cell and atoms, written as POSCAR:
```
BaCaH2
1.0
1.8928 1.0928 6.7291
-1.8928 1.0928 6.7291
0.0000 -2.1856 6.7291
Ba Ca H
1 1 2
direct
0.0000 0.0000 0.0000 Ba
0.1746 0.1746 0.1746 Ca
0.5672 0.5672 0.5672 H
0.7850 0.7850 0.7850 H
```

## Properties
* magnetization: 1.00 μB per formula unit



x | Below is crystalline BaCaH2 at its relaxed geometry, with properties calculated at the GGA-PBE level.

Cell and atoms, written as POSCAR:
```
BaCaH2
1.0
6.4526 0.0000 0.0000
0.0000 4.3089 0.0000
-0.3838 0.0000 6.7386
Ba Ca H
2 2 4
direct
0.2357 0.0000 0.3130 Ba
0.7643 0.0000 0.6870 Ba
0.2985 0.5000 0.8035 Ca
0.7015 0.5000 0.1965 Ca
0.0000 0.5000 0.5000 H
0.3509 0.5000 0.1341 H
0.5000 0.5000 0.5000 H
0.6491 0.5000 0.8659 H
```

## Properties
* magnetization: 0.00 μB per formula unit



y | Below is crystalline BaCaH2 at its relaxed geometry, with properties calculated at the GGA-PBE level.

Cell and atoms, written as POSCAR:
```
BaCaH2
1.0
7.4967 -2.1577 0.0000
7.4967 2.1577 0.0000
-0.2465 0.0000 6.4884
Ba Ca H
2 2 4
direct
0.1597 0.1597 0.2950 Ba
0.8403 0.8403 0.7050 Ba
0.4260 0.4260 0.2171 Ca
0.5740 0.5740 0.7829 Ca
0.3237 0.3237 0.4661 H
0.4271 0.4271 0.8670 H
0.5729 0.5729 0.1330 H
0.6763 0.6763 0.5339 H
```

## Properties
* magnetization: 0.03 μB per formula unit



z | Below is crystalline BaCaH2 at its relaxed geometry, with properties calculated at the GGA-PBE level.

Cell and atoms, written as POSCAR:
```
BaCaH2
1.0
-2.8888 2.8888 5.8422
2.8888 -2.8888 5.8422
2.8888 2.8888 -5.8422
Ba Ca H
2 2 4
direct
0.0000 0.0000 0.0000 Ba
0.7500 0.2500 0.5000 Ba
0.2500 0.7500 0.5000 Ca
0.5000 0.5000 0.0000 Ca
0.1749 0.6250 0.0499 H
0.3750 0.4249 0.5499 H
0.5751 0.1250 0.9501 H
0.8750 0.8251 0.4501 H
```

## Properties
* magnetization: 1.79 μB per formula unit



The structure with the least stability is w.



w | Below is crystalline BaCaH2 at its relaxed geometry, with properties calculated at the GGA-PBE level.

Cell and atoms, written as POSCAR:
```
BaCaH2
1.0
6.4844 0.0000 0.0000
0.0000 4.3151 0.0000
-0.0118 0.0000 6.7544
Ba Ca H
2 2 4
direct
0.0000 0.0000 0.0000 Ba
0.4856 0.0000 0.3779 Ba
0.4795 0.5000 0.8860 Ca
0.9426 0.5000 0.5134 Ca
0.1399 0.5000 0.8057 H
0.4246 0.0000 0.9839 H
0.5866 0.5000 0.5746 H
0.7179 0.5000 0.1802 H
```

## Properties
* magnetization: 0.00 μB per formula unit



x | Below is crystalline BaCaH2 at its relaxed geometry, with properties calculated at the GGA-PBE level.

Cell and atoms, written as POSCAR:
```
BaCaH2
1.0
6.6156 0.0000 0.0000
0.0000 4.2227 0.0000
-0.3754 0.0000 6.9394
Ba Ca H
2 2 4
direct
0.0000 0.0000 0.0000 Ba
0.4692 0.0000 0.6338 Ba
0.5185 0.5000 0.1275 Ca
0.9467 0.5000 0.4828 Ca
0.2708 0.5000 0.8516 H
0.5699 0.0000 0.0152 H
0.5971 0.5000 0.4472 H
0.8559 0.5000 0.1646 H
```

## Properties
* magnetization: 0.01 μB per formula unit



y | Below is crystalline BaCaH2 at its relaxed geometry, with properties calculated at the GGA-PBE level.

Cell and atoms, written as POSCAR:
```
BaCaH2
1.0
2.1683 1.2519 6.4394
-2.1683 1.2519 6.4394
0.0000 -2.5038 6.4394
Ba Ca H
1 1 2
direct
0.0000 0.0000 0.0000 Ba
0.5000 0.5000 0.5000 Ca
0.3837 0.3837 0.3837 H
0.6163 0.6163 0.6163 H
```

## Properties
* magnetization: 0.00 μB per formula unit



The structure with the least stability is w.



w | Below is crystalline BaCaH at its relaxed geometry, with properties calculated at the GGA-PBE level.

Cell and atoms, written as POSCAR:
```
BaCaH
1.0
-1.9201 1.9201 6.8498
1.9201 -1.9201 6.8498
1.9201 1.9201 -6.8498
Ba Ca H
1 1 1
direct
0.0000 0.0000 0.0000 Ba
0.2844 0.2844 0.0000 Ca
0.4602 0.4602 0.0000 H
```

## Properties
* magnetization: 0.75 μB per formula unit



x | Below is crystalline BaCaH at its relaxed geometry, with properties calculated at the GGA-PBE level.

Cell and atoms, written as POSCAR:
```
BaCaH
1.0
6.9067 -1.8600 0.0000
6.9067 1.8600 0.0000
-6.1430 0.0000 7.3892
Ba Ca H
2 2 2
direct
0.0000 0.0000 0.0000 Ba
0.6325 0.6325 0.7062 Ba
0.2649 0.2649 0.4695 Ca
0.8399 0.8399 0.2096 Ca
0.3290 0.3290 0.9774 H
0.6797 0.6797 0.2536 H
```

## Properties
* magnetization: 0.00 μB per formula unit



y | Below is crystalline BaCaH at its relaxed geometry, with properties calculated at the GGA-PBE level.

Cell and atoms, written as POSCAR:
```
BaCaH
1.0
4.0103 0.0000 0.0000
-2.0052 3.4730 0.0000
0.0000 0.0000 6.6251
Ba Ca H
1 1 1
direct
0.0000 0.0000 0.0000 Ba
0.3333 0.6667 0.4653 Ca
0.6667 0.3333 0.2541 H
```

## Properties
* magnetization: 0.57 μB per formula unit



The structure with the least stability is w.



w | Below is crystalline Ba2CaH2 at its relaxed geometry, with properties calculated at the GGA-PBE level.

Cell and atoms, written as POSCAR:
```
Ba2CaH2
1.0
-2.1784 2.1784 9.2555
2.1784 -2.1784 9.2555
2.1784 2.1784 -9.2555
Ba Ca H
2 1 2
direct
0.1713 0.1713 0.0000 Ba
0.8287 0.8287 0.0000 Ba
0.5000 0.5000 0.0000 Ca
0.2500 0.7500 0.5000 H
0.7500 0.2500 0.5000 H
```

## Properties
* magnetization: 0.00 μB per formula unit



x | Below is crystalline Ba2CaH2 at its relaxed geometry, with properties calculated at the GGA-PBE level.

Cell and atoms, written as POSCAR:
```
Ba2CaH2
1.0
8.3496 0.0000 0.0000
0.0000 8.3496 0.0000
0.0000 0.0000 4.5887
Ba Ca H
4 2 4
direct
0.1741 0.3259 0.0000 Ba
0.3259 0.8259 0.0000 Ba
0.6741 0.1741 0.0000 Ba
0.8259 0.6741 0.0000 Ba
0.0000 0.0000 0.5000 Ca
0.5000 0.5000 0.5000 Ca
0.2122 0.7122 0.5000 H
0.2878 0.2122 0.5000 H
0.7122 0.7878 0.5000 H
0.7878 0.2878 0.5000 H
```

## Properties
* magnetization: 0.00 μB per formula unit



The structure with the least stability is x.



w | Below is crystalline KBa2CaH at its relaxed geometry, with properties calculated at the GGA-PBE level.

Cell and atoms, written as POSCAR:
```
KBa2CaH
1.0
6.4218 0.0000 0.0000
0.0000 6.4218 0.0000
0.0000 0.0000 5.2333
K Ba Ca H
1 2 1 1
direct
0.0000 0.0000 0.0000 K
0.0000 0.5000 0.5000 Ba
0.5000 0.0000 0.5000 Ba
0.5000 0.5000 0.0000 Ca
0.5000 0.5000 0.5000 H
```

## Properties
* magnetization: 0.00 μB per formula unit



x | Below is crystalline KBa2CaH at its relaxed geometry, with properties calculated at the GGA-PBE level.

Cell and atoms, written as POSCAR:
```
KBa2CaH
1.0
5.9524 0.0000 0.0000
0.0000 5.9524 0.0000
0.0000 0.0000 6.1147
K Ba Ca H
1 2 1 1
direct
0.0000 0.0000 0.0000 K
0.0000 0.5000 0.5000 Ba
0.5000 0.0000 0.5000 Ba
0.5000 0.5000 0.0000 Ca
0.0000 0.0000 0.5000 H
```

## Properties
* magnetization: 0.00 μB per formula unit



The structure with the least stability is w.



w | Below is crystalline BaCaLa2H at its relaxed geometry, with properties calculated at the GGA-PBE level.

Cell and atoms, written as POSCAR:
```
BaCaLa2H
1.0
5.3361 0.0000 0.0000
0.0000 5.3361 0.0000
0.0000 0.0000 5.7503
Ba Ca La H
1 1 2 1
direct
0.0000 0.0000 0.0000 Ba
0.5000 0.5000 0.0000 Ca
0.0000 0.5000 0.5000 La
0.5000 0.0000 0.5000 La
0.5000 0.5000 0.5000 H
```

## Properties
* magnetization: 0.00 μB per formula unit



x | Below is crystalline BaCaLa2H at its relaxed geometry, with properties calculated at the GGA-PBE level.

Cell and atoms, written as POSCAR:
```
BaCaLa2H
1.0
5.3209 0.0000 0.0000
0.0000 5.3209 0.0000
0.0000 0.0000 5.8773
Ba Ca La H
1 1 2 1
direct
0.0000 0.0000 0.0000 Ba
0.5000 0.5000 0.0000 Ca
0.0000 0.5000 0.5000 La
0.5000 0.0000 0.5000 La
0.0000 0.0000 0.5000 H
```

## Properties
* magnetization: 0.00 μB per formula unit



The structure with the least stability is w.



w | Below is crystalline Ba2NaCaH at its relaxed geometry, with properties calculated at the GGA-PBE level.

Cell and atoms, written as POSCAR:
```
Ba2NaCaH
1.0
6.2221 0.0000 0.0000
0.0000 6.2221 0.0000
0.0000 0.0000 4.9882
Ba Na Ca H
2 1 1 1
direct
0.0000 0.5000 0.0000 Ba
0.5000 0.0000 0.0000 Ba
0.0000 0.0000 0.5000 Na
0.5000 0.5000 0.5000 Ca
0.5000 0.5000 0.0000 H
```

## Properties
* magnetization: 0.00 μB per formula unit



x | Below is crystalline Ba2NaCaH at its relaxed geometry, with properties calculated at the GGA-PBE level.

Cell and atoms, written as POSCAR:
```
Ba2NaCaH
1.0
5.8065 0.0000 0.0000
0.0000 5.8065 0.0000
0.0000 0.0000 5.7468
Ba Na Ca H
2 1 1 1
direct
0.0000 0.5000 0.0000 Ba
0.5000 0.0000 0.0000 Ba
0.0000 0.0000 0.5000 Na
0.5000 0.5000 0.5000 Ca
0.0000 0.0000 0.0000 H
```

## Properties
* magnetization: 0.00 μB per formula unit



The structure with the least stability is x.



w | Below is crystalline BaNaCa2H at its relaxed geometry, with properties calculated at the GGA-PBE level.

Cell and atoms, written as POSCAR:
```
BaNaCa2H
1.0
5.3710 0.0000 0.0000
0.0000 5.3710 0.0000
0.0000 0.0000 5.8995
Ba Na Ca H
1 1 2 1
direct
0.0000 0.0000 0.0000 Ba
0.5000 0.5000 0.0000 Na
0.0000 0.5000 0.5000 Ca
0.5000 0.0000 0.5000 Ca
0.0000 0.0000 0.5000 H
```

## Properties
* magnetization: 0.00 μB per formula unit



x | Below is crystalline BaNaCa2H at its relaxed geometry, with properties calculated at the GGA-PBE level.

Cell and atoms, written as POSCAR:
```
BaNaCa2H
1.0
5.2058 0.0000 0.0000
0.0000 5.2058 0.0000
0.0000 0.0000 6.5141
Ba Na Ca H
1 1 2 1
direct
0.0000 0.0000 0.0000 Ba
0.5000 0.5000 0.0000 Na
0.0000 0.5000 0.5000 Ca
0.5000 0.0000 0.5000 Ca
0.5000 0.5000 0.5000 H
```

## Properties
* magnetization: 1.08 μB per formula unit



The structure with the least stability is x.